PBE MoWCl, optimized geometry; mass density = 9.4 g cm⁻³; SG = F-43m (216); ΔE to the lowest computed polymorph = 0.818 eV/atom
1.0
-2.6314 -2.0133 -2.7220
1.6087 -2.1437 -3.3472
-0.1422 -4.2851 -0.0706
Mo W Cl
1 1 1
direct
0.7500 0.7500 0.7500 Mo
0.0000 0.0000 0.0000 W
0.5000 0.5000 0.5000 Cl

---

PBE MoWCl2, optimized geometry; mass density = 8.7 g cm⁻³; SG = F-43m (216); ΔE to the lowest computed polymorph = 1.381 eV/atom
1.0
-2.7690 3.4210 -1.2145
-1.9194 0.0225 -4.1426
-4.4836 -0.7395 -0.4426
W Cl Mo
1 2 1
direct
0.2500 0.2500 0.2500 W
0.7500 0.7500 0.7500 Cl
0.0000 0.0000 0.0000 Cl
0.5000 0.5000 0.5000 Mo

---

PBE Mo2WCl, optimized geometry; mass density = 10.8 g cm⁻³; SG = I4/mmm (139); ΔE to the lowest computed polymorph = 0.881 eV/atom
1.0
5.1969 -0.0235 0.0000
2.4779 4.5681 0.0000
-3.8374 -2.2723 2.6681
Mo Cl W
2 1 1
direct
0.5000 0.5000 0.0000 Mo
0.0000 0.0000 0.0000 Mo
0.7500 0.2500 0.5000 Cl
0.2500 0.7500 0.5000 W